Entry 1:
# TmNi6H8

TmNi6H8 after structural relaxation (PBE-GGA, the Alexandria database).

a b c (Å): 7.3820 7.3820 7.1473
angles (deg): 90.00 90.00 120.00
Last column: nearest neighbours and their distance in Å.
Space group R-3 (No. 148, hexagonal axes)
Inequivalent atoms, fractional coordinates:
Tm 0.0000 0.0000 0.0000  8 H 2.23-2.31
Ni 0.0311 0.2402 0.6486  4 H 1.66-1.70
H 0.0000 0.0000 0.3117  3 Ni 1.69
H 0.0145 0.4147 0.7836  3 Ni 1.66-1.70

Output
crystal system = trigonal

---

Entry 2:
# NaSiIO2

NaSiIO2 after structural relaxation (PBE-GGA, the Alexandria database).

a b c (Å): 3.7068 3.7068 5.7989
angles (deg): 90.00 90.00 90.00
Last column: nearest neighbours and their distance in Å.
Space group P4/mmm (No. 123)
Inequivalent atoms, fractional coordinates:
Na 0.0000 0.0000 0.0000  4 I 2.62
Si 0.5000 0.5000 0.5000  4 O 1.85
I 0.5000 0.5000 0.0000  4 Na 2.62, 2 Si 2.90
O 0.0000 0.5000 0.5000  2 Si 1.85

Output
crystal system = tetragonal
formation energy (no corrections) = -1.0279 eV per atom
polymorph energy (0 for the lowest one) = 0 meV/atom

---

In μB/atom, the spin magnetization values for the records above are, in order, 0.000 0.000.
In eV per atom, the electronic total energy values for the records above are, in order, -4.55 -4.67.